Record 1
! AcSmP2 (PBE-GGA, relaxed); values from VASP
&SYSTEM
  ibrav = 0, nat = 4, ntyp = 3
/
ATOMIC_SPECIES
P 30.97 P.upf
Ac 227.00 Ac.upf
Sm 150.36 Sm.upf
ATOMIC_POSITIONS crystal
P 0.250 0.250 0.250
P 0.750 0.750 0.750
Ac 0.500 0.500 0.500
Sm 0.000 0.000 0.000
CELL_PARAMETERS angstrom
-2.925 4.142 1.035
-4.291 -0.509 2.848
-0.160 1.920 4.803
! formation energy	-1.060	eV/atom
! E above lowest polymorph	0.431	eV per atom
! space-group type	Fm-3m, No. 225

Record 2
! Sc4TiAl3 (PBE-GGA, relaxed); values from VASP
&SYSTEM
  ibrav = 0, nat = 16, ntyp = 3
/
ATOMIC_SPECIES
Ti 47.87 Ti.upf
Al 26.98 Al.upf
Sc 44.96 Sc.upf
ATOMIC_POSITIONS crystal
Ti 0.000 0.500 0.500
Al 0.500 0.000 0.750
Sc 0.500 0.752 0.000
Al 0.500 0.500 0.250
Sc 0.000 0.248 0.250
Al 0.500 0.500 0.750
Al 0.000 0.000 0.000
Sc 0.000 0.752 0.250
Sc 0.000 0.752 0.750
Ti 0.000 0.500 0.000
Sc 0.500 0.248 0.000
Al 0.000 0.000 0.500
Sc 0.500 0.752 0.500
Al 0.500 0.000 0.250
Sc 0.500 0.248 0.500
Sc 0.000 0.248 0.750
CELL_PARAMETERS angstrom
-3.402 -0.541 -3.353
1.445 -6.683 -0.387
-6.483 -1.800 6.868
! formation energy	-0.334	eV/atom
! space-group type	P4/mmm, No. 123

Record 3
! Ce2SmPb2 (PBE-GGA, relaxed); values from VASP
&SYSTEM
  ibrav = 0, nat = 10, ntyp = 3
/
ATOMIC_SPECIES
Pb 207.20 Pb.upf
Ce 140.12 Ce.upf
Sm 150.36 Sm.upf
ATOMIC_POSITIONS crystal
Pb 0.333 0.667 0.881
Pb 0.333 0.667 0.619
Ce 0.000 0.000 0.500
Sm 0.000 0.000 0.750
Ce 0.000 0.000 0.000
Pb 0.667 0.333 0.381
Ce 0.333 0.667 0.250
Pb 0.667 0.333 0.119
Ce 0.667 0.333 0.750
Sm 0.000 0.000 0.250
CELL_PARAMETERS angstrom
-3.715 -2.350 2.813
5.018 -1.211 0.773
0.883 9.442 9.054
! formation energy	-0.126	eV/atom
! E above lowest polymorph	0.164	eV per atom
! space-group type	P6_3/mmc, No. 194

Record 4
! SrIn2Ga (PBE-GGA, relaxed); values from VASP
&SYSTEM
  ibrav = 0, nat = 8, ntyp = 3
/
ATOMIC_SPECIES
In 114.82 In.upf
Sr 87.62 Sr.upf
Ga 69.72 Ga.upf
ATOMIC_POSITIONS crystal
In 0.859 0.719 0.000
Sr 0.572 0.143 0.000
In 0.460 0.921 0.500
In 0.053 0.106 0.705
Ga 0.288 0.575 0.192
In 0.053 0.106 0.295
Ga 0.288 0.575 0.808
Sr 0.756 0.513 0.500
CELL_PARAMETERS angstrom
-4.437 -1.517 -1.730
2.320 -3.823 4.624
-3.407 4.127 5.121
! formation energy	-0.321	eV/atom
! space-group type	Amm2, No. 38

Record 5
! Tb2TmHfAs4 (PBE-GGA, relaxed); values from VASP
&SYSTEM
  ibrav = 0, nat = 8, ntyp = 4
/
ATOMIC_SPECIES
As 74.92 As.upf
Tb 158.93 Tb.upf
Tm 168.93 Tm.upf
Hf 178.49 Hf.upf
ATOMIC_POSITIONS crystal
As 0.500 0.762 0.765
As 0.000 0.246 0.760
As 0.000 0.754 0.240
Tb 0.500 0.000 0.500
Tm 0.500 0.500 0.000
Tb 0.000 0.500 0.500
Hf 0.000 0.000 0.000
As 0.500 0.238 0.235
CELL_PARAMETERS angstrom
-3.537 0.989 -1.651
-3.271 -1.917 5.859
1.698 6.762 0.414
! formation energy	-1.399	eV/atom
! space-group type	P2/m, No. 10

Record 6
! Ag3C (PBE-GGA, relaxed); values from VASP
&SYSTEM
  ibrav = 0, nat = 8, ntyp = 2
/
ATOMIC_SPECIES
Ag 107.87 Ag.upf
C 12.01 C.upf
ATOMIC_POSITIONS crystal
Ag 0.394 0.136 0.250
C 0.513 0.487 0.250
Ag 0.868 0.132 0.250
C 0.487 0.513 0.750
Ag 0.864 0.606 0.250
Ag 0.606 0.864 0.750
Ag 0.136 0.394 0.750
Ag 0.132 0.868 0.750
CELL_PARAMETERS angstrom
4.756 -5.074 0.000
4.756 5.074 0.000
0.000 0.000 2.740
! formation energy	0.556	eV/atom
! E above lowest polymorph	0.000	eV per atom
! space-group type	Cmcm, No. 63

Record 7
! Tb3Pm2Nd2 (PBE-GGA, relaxed); values from VASP
&SYSTEM
  ibrav = 0, nat = 7, ntyp = 3
/
ATOMIC_SPECIES
Tb 158.93 Tb.upf
Nd 144.24 Nd.upf
Pm 145.00 Pm.upf
ATOMIC_POSITIONS crystal
Tb 0.221 0.645 0.441
Nd 0.921 0.796 0.842
Pm 0.361 0.093 0.722
Tb 0.779 0.355 0.559
Pm 0.639 0.907 0.278
Tb 0.000 0.500 0.000
Nd 0.079 0.204 0.158
CELL_PARAMETERS angstrom
-1.754 1.313 -2.757
-7.586 -3.186 3.311
3.043 7.210 3.746
! formation energy	0.124	eV/atom
! E above lowest polymorph	0.000	eV per atom
! space-group type	C2/m, No. 12

Record 8
! NaTb3Er2Te6 (PBE-GGA, relaxed); values from VASP
&SYSTEM
  ibrav = 0, nat = 12, ntyp = 4
/
ATOMIC_SPECIES
Te 127.60 Te.upf
Na 22.99 Na.upf
Er 167.26 Er.upf
Tb 158.93 Tb.upf
ATOMIC_POSITIONS crystal
Te 0.333 0.420 0.666
Na 0.500 0.000 0.000
Er 0.832 0.660 0.664
Te 0.331 0.914 0.662
Tb 0.162 0.823 0.324
Tb 0.838 0.177 0.676
Er 0.168 0.340 0.336
Te 0.669 0.086 0.338
Te 0.004 0.251 0.007
Te 0.996 0.749 0.993
Te 0.667 0.580 0.334
Tb 0.500 0.500 0.000
CELL_PARAMETERS angstrom
4.352 0.000 0.000
0.000 8.783 0.294
-2.176 -2.552 9.198
! space-group type	C2/m, No. 12
! E_form (uncorrected)	-1.29	eV per atom

Record 9
! SnHg2I8 (PBE-GGA, relaxed); values from VASP
&SYSTEM
  ibrav = 0, nat = 11, ntyp = 3
/
ATOMIC_SPECIES
I 126.90 I.upf
Sn 118.71 Sn.upf
Hg 200.59 Hg.upf
ATOMIC_POSITIONS crystal
I 0.294 0.436 0.872
Sn 0.000 0.000 0.000
I 0.706 0.564 0.128
I 0.439 0.799 0.598
Hg 0.429 0.321 0.642
I 0.841 0.640 0.752
I 0.561 0.201 0.402
I 0.159 0.888 0.248
I 0.159 0.360 0.248
I 0.841 0.112 0.752
Hg 0.571 0.679 0.358
CELL_PARAMETERS angstrom
11.069 0.212 -2.767
-1.143 7.241 -4.017
-0.709 -0.410 8.161
! E above lowest polymorph	0.069	eV per atom
! space-group type	C2/m, No. 12
! E_form (uncorrected)	-0.18	eV per atom

Record 10
! Er2MgTc (PBE-GGA, relaxed); values from VASP
&SYSTEM
  ibrav = 0, nat = 4, ntyp = 3
/
ATOMIC_SPECIES
Er 167.26 Er.upf
Tc 98.00 Tc.upf
Mg 24.30 Mg.upf
ATOMIC_POSITIONS crystal
Er 0.104 0.104 0.689
Tc 0.500 0.500 0.500
Mg 0.000 0.000 0.000
Er 0.896 0.896 0.311
CELL_PARAMETERS angstrom
3.354 0.000 0.000
1.677 2.905 0.000
1.677 0.968 10.691
! formation energy	0.238	eV/atom
! space-group type	R-3m, No. 166

Record 11
! PaTlCd (PBE-GGA, relaxed); values from VASP
&SYSTEM
  ibrav = 0, nat = 6, ntyp = 3
/
ATOMIC_SPECIES
Pa 231.04 Pa.upf
Cd 112.41 Cd.upf
Tl 204.38 Tl.upf
ATOMIC_POSITIONS crystal
Pa 0.430 0.430 0.651
Cd 0.500 0.000 0.000
Pa 0.570 0.570 0.349
Tl 0.940 0.940 0.704
Tl 0.060 0.060 0.296
Cd 0.000 0.500 0.000
CELL_PARAMETERS angstrom
-0.274 1.528 -4.293
2.558 -3.525 -1.368
-6.664 -3.644 0.155
! formation energy	0.212	eV/atom
! E above lowest polymorph	0.039	eV per atom
! space-group type	C2/m, No. 12

What M_tot values result from the calculations? In sequence: 0.0 6.3 4.5 0.0 0.0 0.0 0.0 0.0 0.0 0.0 0.0 μB/cell.